Entry 1:
DFT (PBE) results for an optimized crystal structure of Hf2TcGe.

a b c (Å): 3.4170 3.4170 6.1358
angles (deg): 90.00 90.00 90.00
Positions (direct):
Ge  0.5000  0.5000  0.0000
Hf  0.0000  0.0000  0.7484
Hf  0.0000  0.0000  0.2516
Tc  0.5000  0.5000  0.5000

Calculated values
Space-group type   P4/mmm, No. 123
E_tot   -0.677 Ry/atom
DOS at the Fermi energy   2.71 states/eV per cell

Entry 2:
DFT (PBE) results for an optimized crystal structure of Hf3Tc2Ge4.

a b c (Å): 3.3782 6.9744 7.3373
angles (deg): 108.78 103.31 90.00
Positions (direct):
Hf  0.8583  0.4023  0.7166
Hf  0.1417  0.5977  0.2834
Hf  0.0000  0.0000  0.0000
Tc  0.3315  0.0476  0.6630
Tc  0.6685  0.9524  0.3370
Ge  0.5055  0.3175  0.0111
Ge  0.8033  0.7566  0.6066
Ge  0.4945  0.6825  0.9889
Ge  0.1967  0.2434  0.3934

Calculated values
Space-group type   C2/m, No. 12
E_tot   -0.598 Ry/atom
DOS at the Fermi energy   2.47 states/eV per cell

> Which formula does entry 2 have?

Hf3Tc2Ge4